# GGA+U MnWO4, optimized geometry
# DOS at the Fermi energy	0.000	states/eV/atom
# raw total energy	-7.725	eV per atom
data_MnWO4
_space_group_name_H-M_alt 'P 1 2/c 1'
_space_group_IT_number 13
_space_group_name_Hall '-P 2yc'
_cell_length_a 4.881
_cell_length_b 5.856
_cell_length_c 5.119
_cell_angle_alpha 90.00
_cell_angle_beta 91.65
_cell_angle_gamma 90.00
loop_
_atom_site_label
_atom_site_fract_x
_atom_site_fract_y
_atom_site_fract_z
Mn1 0.000 0.174 0.250
W1 0.500 0.328 0.750
O1 0.246 0.129 0.607
O2 0.290 0.395 0.061